(1)
# Pr5Hf, relaxed, DFT GGA-PBE
# Calculated formation energy (eV/f.u.): 0.8
# Crystal system: orthorhombic
# Total magnetization (μB/f.u.): 0.000
# Total energy (eV per cell): -66.10
data_Pr5Hf
_space_group_name_H-M_alt 'C m m m'
_space_group_IT_number 65
_space_group_name_Hall '-C 2 2'
_cell_length_a 5.0618
_cell_length_b 15.5553
_cell_length_c 5.0597
_cell_angle_alpha 90.00
_cell_angle_beta 90.00
_cell_angle_gamma 90.00
loop_
_atom_site_label
_atom_site_type_symbol
_atom_site_fract_x
_atom_site_fract_y
_atom_site_fract_z
Pr1 Pr 0.0000 0.0000 0.0000
Pr2 Pr 0.0000 0.1582 0.5000
Pr3 Pr 0.0000 0.3407 0.0000
Hf1 Hf 0.0000 0.5000 0.5000

(2)
# Cs4Pb2Br, relaxed, DFT GGA-PBE
# Crystal system: tetragonal
# Total magnetization (μB/f.u.): 0.501
# Total energy (eV per cell): -31.71
data_Cs4Pb2Br
_space_group_name_H-M_alt 'I 4/m m m'
_space_group_IT_number 139
_space_group_name_Hall '-I 4 2'
_cell_length_a 7.5755
_cell_length_b 7.5755
_cell_length_c 17.5814
_cell_angle_alpha 90.00
_cell_angle_beta 90.00
_cell_angle_gamma 90.00
loop_
_atom_site_label
_atom_site_type_symbol
_atom_site_fract_x
_atom_site_fract_y
_atom_site_fract_z
Cs1 Cs 0.0000 0.0000 0.1982
Cs2 Cs 0.0000 0.5000 0.0000
Pb1 Pb 0.0000 0.0000 0.4187
Br1 Br 0.0000 0.0000 0.0000

(3)
# BeAgSe2, relaxed, DFT GGA-PBE
# Crystal system: monoclinic
# Total magnetization (μB/f.u.): 0.000
# Total energy (eV per cell): -25.21
data_BeAgSe2
_space_group_name_H-M_alt 'C 1 2/m 1'
_space_group_IT_number 12
_cell_length_a 6.0010
_cell_length_b 7.2800
_cell_length_c 4.3269
_cell_angle_alpha 90.00
_cell_angle_beta 123.43
_cell_angle_gamma 90.00
loop_
_space_group_symop_operation_xyz
'x,y,z'
'-x,-y,-z'
'-x,y,-z'
'x,-y,z'
'x+1/2,y+1/2,z'
'-x+1/2,-y+1/2,-z'
'-x+1/2,y+1/2,-z'
'x+1/2,-y+1/2,z'
loop_
_atom_site_label
_atom_site_type_symbol
_atom_site_fract_x
_atom_site_fract_y
_atom_site_fract_z
Be1 Be 0.0000 0.0000 0.0000
Ag1 Ag 0.0000 0.5000 0.0000
Se1 Se 0.2500 0.2500 0.5000

(4)
# VHgS2, relaxed, DFT GGA-PBE
# Crystal system: orthorhombic
# Total magnetization (μB/f.u.): 1.099
# Total energy (eV per cell): -77.63
data_VHgS2
_space_group_name_H-M_alt 'P n m a'
_space_group_IT_number 62
_cell_length_a 8.5496
_cell_length_b 3.5538
_cell_length_c 12.6495
_cell_angle_alpha 90.00
_cell_angle_beta 90.00
_cell_angle_gamma 90.00
loop_
_space_group_symop_operation_xyz
'x,y,z'
'-x,-y,-z'
'-x+1/2,-y,z+1/2'
'x+1/2,y,-z+1/2'
'x+1/2,-y+1/2,-z+1/2'
'-x+1/2,y+1/2,z+1/2'
'-x,y+1/2,-z'
'x,-y+1/2,z'
loop_
_atom_site_label
_atom_site_type_symbol
_atom_site_fract_x
_atom_site_fract_y
_atom_site_fract_z
V1 V 0.0053 0.2500 0.1011
Hg1 Hg 0.2412 0.2500 0.8275
S1 S 0.0349 0.2500 0.2749
S2 S 0.1617 0.7500 0.0493

(5)
# NdMg3Tl2F12, relaxed, DFT GGA-PBE
# Crystal system: trigonal
# Total magnetization (μB/f.u.): 0.523
# Total energy (eV per cell): -278.07
data_NdMg3Tl2F12
_space_group_name_H-M_alt 'R -3 m'
_space_group_IT_number 166
_space_group_name_Hall '-R 3 2"'
_cell_length_a 7.4818
_cell_length_b 7.4818
_cell_length_c 15.5745
_cell_angle_alpha 90.00
_cell_angle_beta 90.00
_cell_angle_gamma 120.00
loop_
_atom_site_label
_atom_site_type_symbol
_atom_site_fract_x
_atom_site_fract_y
_atom_site_fract_z
Nd1 Nd 0.0000 0.0000 0.0000
Mg1 Mg 0.0000 0.5000 0.5000
Tl1 Tl 0.0000 0.0000 0.3928
F1 F 0.0485 0.5242 0.3734
F2 F 0.0957 0.5478 0.8014

(6)
# LiZnGa, relaxed, DFT GGA-PBE
# Calculated formation energy (eV/f.u.): -0.6
# Crystal system: monoclinic
# Total magnetization (μB/f.u.): 0.000
# Total energy (eV per cell): -13.68
# Relative energy among the computed polymorphs (kJ/mol of atoms): 2.2
data_LiZnGa
_space_group_name_H-M_alt 'P 1 21/m 1'
_space_group_IT_number 11
_cell_length_a 4.1461
_cell_length_b 4.1087
_cell_length_c 5.8015
_cell_angle_alpha 90.00
_cell_angle_beta 110.74
_cell_angle_gamma 90.00
loop_
_space_group_symop_operation_xyz
'x,y,z'
'-x,-y,-z'
'-x,y+1/2,-z'
'x,-y+1/2,z'
loop_
_atom_site_label
_atom_site_type_symbol
_atom_site_fract_x
_atom_site_fract_y
_atom_site_fract_z
Li1 Li 0.0842 0.2500 0.1684
Zn1 Zn 0.2401 0.7500 0.4829
Ga1 Ga 0.4086 0.2500 0.8207